A plane-wave DFT calculation with GGA-PBE was carried out for a relaxed AlTl2Re crystal.

```
data_AlTl2Re
_symmetry_space_group_name_H-M 'F -4 3 m'
_symmetry_Int_Tables_number 216
_symmetry_space_group_name_Hall 'F -4 2 3'
_cell_length_a 6.9083
_cell_length_b 6.9083
_cell_length_c 6.9083
_cell_angle_alpha 90.00
_cell_angle_beta 90.00
_cell_angle_gamma 90.00
loop_
_atom_site_label
_atom_site_fract_x
_atom_site_fract_y
_atom_site_fract_z
Al1 0.0000 0.0000 0.0000
Tl1 0.0000 0.0000 0.5000
Tl2 0.2500 0.2500 0.2500
Re1 0.2500 0.2500 0.7500
```

Summary:
Formation energy from the elements (eV/atom): 1.0331
V (Å³/cell): 329.70
M_tot (Bohr magnetons per cell): 0.04
Theoretical density (Mg/m³): 12.53